# 1
5
Lattice="-3.135 3.135 2.239 3.135 -3.135 2.239 3.135 3.135 -2.239" Properties=species:S:1:pos:R:3 comment="MoAs4 | Alexandria via LeMat-Bulk | PBE | optimized geometry" sg="No. 87" magmom_total_mub_per_cell=0.00 formation_energy_ev_per_atom=0.3104 energy_ev_per_atom=-5.575 pbc="T T T"
Mo 0.000 0.000 0.000
As -0.739 1.763 2.239
As 1.372 2.396 0.000
As 3.874 1.372 0.000
As 1.763 0.739 2.239


# 2
9
Lattice="-0.122 -2.367 -3.809 -3.237 -2.591 1.714 -6.262 5.638 -3.303" Properties=species:S:1:pos:R:3 comment="PrSmSb2Rh5 | Alexandria via LeMat-Bulk | PBE | optimized geometry" sg="No. 123" magmom_total_mub_per_cell=0.00 energy_ev_per_atom=-6.589 pbc="T T T"
Pr -3.131 2.819 -1.652
Sm 0.000 0.000 0.000
Sb -2.669 -1.589 -1.570
Sb -6.952 2.268 -3.829
Rh -3.393 0.302 -0.079
Rh -1.835 0.414 -2.841
Rh -6.106 2.745 -1.511
Rh -4.549 2.857 -4.272
Rh -4.811 0.340 -2.700


# 3
8
Lattice="4.305 0.000 0.000 0.000 7.477 0.128 0.000 -2.631 8.320" Properties=species:S:1:pos:R:3 comment="Cs2YNpSe4 | Alexandria via LeMat-Bulk | PBE | optimized geometry" sg="No. 10" magmom_total_mub_per_cell=4.00 energy_ev_per_atom=-5.854 pbc="T T T"
Cs 2.153 -1.315 4.160
Cs 0.000 2.423 4.224
Y 0.000 0.000 0.000
Np 2.153 3.738 0.064
Se 2.153 1.192 1.577
Se 2.153 3.654 6.871
Se 0.000 -0.131 6.814
Se 0.000 4.977 1.634


# 4
3
Lattice="2.643 0.000 0.000 0.000 2.643 0.000 -1.321 -1.321 4.710" Properties=species:S:1:pos:R:3 comment="TiVN | Alexandria via LeMat-Bulk | PBE | optimized geometry" sg="No. 107" magmom_total_mub_per_cell=0.00 energy_ev_per_atom=-8.898 pbc="T T T"
V 0.000 0.000 2.272
Ti 1.321 1.321 4.531
N 1.321 1.321 1.204


# 5
8
Lattice="5.158 0.000 0.000 0.000 4.953 0.000 0.000 0.000 9.674" Properties=species:S:1:pos:R:3 comment="Ca2Bi3Pb3 | Alexandria via LeMat-Bulk | PBE | optimized geometry" sg="No. 47" magmom_total_mub_per_cell=0.00 formation_energy_ev_per_atom=-0.3684 energy_ev_per_atom=-3.715 pbc="T T T"
Ca 0.000 0.000 7.215
Ca 0.000 0.000 2.459
Bi 2.579 0.000 4.837
Bi 0.000 2.476 0.000
Bi 0.000 2.476 4.837
Pb 2.579 2.476 7.307
Pb 2.579 2.476 2.367
Pb 2.579 0.000 0.000


# 6
4
Lattice="-1.534 3.126 1.460 -2.412 -2.425 2.658 3.138 0.147 2.982" Properties=species:S:1:pos:R:3 comment="PaTc2Ag | Alexandria via LeMat-Bulk | PBE | optimized geometry" sg="No. 123" magmom_total_mub_per_cell=0.00 formation_energy_ev_per_atom=0.0465 energy_ev_per_atom=-8.223 pbc="T T T"
Pa -0.767 1.563 0.730
Tc 1.569 0.073 1.491
Tc -1.206 -1.213 1.329
Ag -0.403 0.424 3.550